Computed, not measured: a relaxed PmTa2CoN4 crystal at the GGA-PBE level of DFT.

**ΔE_f (raw)**: -1007 meV per atom
**Space group**: Cmcm (63)
**E**: -9.6151 eV/atom
**Total magnetization**: 0.000 μB per atom

abc: 5.592 5.592 10.838
angles: 90.00 90.00 147.08
Element x y z (fractional)
Pm (0.109, 0.891, 0.750)
Pm (0.891, 0.109, 0.250)
Ta (0.369, 0.631, 0.559)
Ta (0.369, 0.631, 0.941)
Ta (0.631, 0.369, 0.059)
Ta (0.631, 0.369, 0.441)
Co (0.158, 0.842, 0.250)
Co (0.842, 0.158, 0.750)
N (0.000, 0.000, 0.000)
N (0.000, 0.000, 0.500)
N (0.270, 0.730, 0.109)
N (0.270, 0.730, 0.391)
N (0.444, 0.556, 0.750)
N (0.556, 0.444, 0.250)
N (0.730, 0.270, 0.609)
N (0.730, 0.270, 0.891)